VASP calculation (GGA-PBE) on a relaxed structure of CrFe2Os.

## Properties
N(E_F) in states/eV/f.u.: 4.5
ΔH_f (0 K) in eV per formula unit: 0.49

Cell: 2.591 3.629 5.165 Å, 90.00 90.00 90.00°
Sites, in units of the cell vectors:
Cr: 0.500 0.500 0.763
Fe: 0.000 0.000 0.002
Fe: 0.500 0.500 0.239
Os: 0.000 0.000 0.496